Entry 1:
The following is a DFT calculation (PBE-GGA) of a relaxed structure of ErHf3.

a = 4.5786 Å, b = 4.5786 Å, c = 5.5729 Å
α = 114.25°, β = 114.25°, γ = 90.00°
Closest atoms and distances in Å follow each position.
Atoms (fractional coordinates):
Hf 0.7500 0.2500 0.5000  8 Hf 3.22-3.24, 4 Er 3.22
Hf 0.2500 0.7500 0.5000  4 Er 3.22, 8 Hf 3.22-3.24
Hf 0.5000 0.5000 0.0000  8 Hf 3.22, 4 Er 3.24
Er 0.0000 0.0000 0.0000  12 Hf 3.22-3.24

Summary:
symmetry	I4/mmm, No. 139
distance to the lowest polymorph of the same formula	0.0970	eV per atom
E_tot	-8.45	eV/atom
D(E_F)	6.16	states/eV/f.u.
magnetization	0.000	μB per atom



Entry 2:
The following is a DFT calculation (PBE-GGA) of a relaxed structure of ErHf2.

a = 6.0388 Å, b = 6.0388 Å, c = 6.0388 Å
α = 60.00°, β = 60.00°, γ = 60.00°
Closest atoms and distances in Å follow each position.
Atoms (fractional coordinates):
Hf 0.1250 0.6250 0.6250  6 Hf 3.02
Hf 0.6250 0.1250 0.6250  6 Hf 3.02
Hf 0.6250 0.6250 0.6250  6 Hf 3.02
Hf 0.6250 0.6250 0.1250  6 Hf 3.02
Er 0.0000 0.0000 0.0000  12 Hf 3.54, 4 Er 3.70
Er 0.2500 0.2500 0.2500  12 Hf 3.54, 4 Er 3.70

Summary:
symmetry	Fd-3m, No. 227
distance to the lowest polymorph of the same formula	0.1997	eV per atom
E_tot	-7.84	eV/atom
D(E_F)	8.01	states/eV/f.u.
magnetization	0.787	μB per atom



Entry 3:
The following is a DFT calculation (PBE-GGA) of a relaxed structure of Er3Hf.

a = 4.8107 Å, b = 4.8107 Å, c = 5.8770 Å
α = 114.16°, β = 114.16°, γ = 90.00°
Closest atoms and distances in Å follow each position.
Atoms (fractional coordinates):
Hf 0.0000 0.0000 0.0000  12 Er 3.40
Er 0.7500 0.2500 0.5000  8 Er 3.40, 4 Hf 3.40
Er 0.2500 0.7500 0.5000  8 Er 3.40, 4 Hf 3.40
Er 0.5000 0.5000 0.0000  8 Er 3.40, 4 Hf 3.40

Summary:
symmetry	I4/mmm, No. 139
distance to the lowest polymorph of the same formula	0.0347	eV per atom
E_tot	-5.78	eV/atom
D(E_F)	5.03	states/eV/f.u.
magnetization	0.000	μB per atom



Entry 4:
The following is a DFT calculation (PBE-GGA) of a relaxed structure of ErHf3.

a = 4.5682 Å, b = 4.5682 Å, c = 4.5682 Å
α = 90.00°, β = 90.00°, γ = 90.00°
Closest atoms and distances in Å follow each position.
Atoms (fractional coordinates):
Hf 0.0000 0.5000 0.5000  8 Hf 3.23, 4 Er 3.23
Hf 0.5000 0.0000 0.5000  8 Hf 3.23, 4 Er 3.23
Hf 0.5000 0.5000 0.0000  8 Hf 3.23, 4 Er 3.23
Er 0.0000 0.0000 0.0000  12 Hf 3.23

Summary:
symmetry	Pm-3m, No. 221
distance to the lowest polymorph of the same formula	0.0957	eV per atom
E_tot	-8.45	eV/atom
D(E_F)	5.26	states/eV/f.u.
magnetization	0.000	μB per atom